Computed, not measured: a relaxed structure of Zn3BAu at the PBE level of DFT.

Summary:
Total DFT energy (no corrections), eV/atom: -1.691
Energy above the lowest structure with this stoichiometry, eV/f.u.: 4.31
Formation enthalpy at 0 K, eV per atom: 1.064

```
data_Zn3BAu
_chemical_formula_sum 'Zn3 B1 Au1'
_cell_length_a 4.8692
_cell_length_b 4.8692
_cell_length_c 4.8692
_cell_angle_alpha 90.00
_cell_angle_beta 90.00
_cell_angle_gamma 90.00
_space_group_name_H-M_alt 'P m -3 m'
_space_group_IT_number 221
_space_group_name_Hall '-P 4 2 3'
loop_
_atom_site_label
_atom_site_type_symbol
_atom_site_fract_x
_atom_site_fract_y
_atom_site_fract_z
Zn1 Zn 0.0000 0.0000 0.5000
B1 B 0.5000 0.5000 0.5000
Au1 Au 0.0000 0.0000 0.0000
```

---

Computed, not measured: a relaxed structure of La6BiRh3 at the PBE level of DFT.

Summary:
Total DFT energy (no corrections), eV/atom: -6.254
Formation enthalpy at 0 K, eV per atom: -0.704

```
data_La6BiRh3
_chemical_formula_sum 'La12 Bi2 Rh6'
_cell_length_a 12.0461
_cell_length_b 4.3063
_cell_length_c 12.5061
_cell_angle_alpha 90.00
_cell_angle_beta 107.38
_cell_angle_gamma 90.00
_space_group_name_H-M_alt 'P 1 21/m 1'
_space_group_IT_number 11
_space_group_name_Hall '-P 2yb'
loop_
_atom_site_label
_atom_site_type_symbol
_atom_site_fract_x
_atom_site_fract_y
_atom_site_fract_z
La1 La 0.0235 0.2500 0.3911
La2 La 0.1094 0.2500 0.9501
La3 La 0.2068 0.7500 0.2606
La4 La 0.2861 0.7500 0.7725
La5 La 0.3510 0.2500 0.5392
La6 La 0.4207 0.7500 0.0904
Bi1 Bi 0.4464 0.2500 0.3112
Rh1 Rh 0.0385 0.2500 0.1640
Rh2 Rh 0.1760 0.7500 0.4929
Rh3 Rh 0.3448 0.2500 0.9213
```

---

Computed, not measured: a relaxed structure of Ca2I3Br at the PBE level of DFT.

Summary:
Total DFT energy (no corrections), eV/atom: -3.447
Energy above the lowest structure with this stoichiometry, eV/f.u.: 0.00
Raw formation energy, eV per atom: -1.726

```
data_Ca2I3Br
_chemical_formula_sum 'Ca4 I6 Br2'
_cell_length_a 8.9406
_cell_length_b 8.9406
_cell_length_c 7.6311
_cell_angle_alpha 90.00
_cell_angle_beta 90.00
_cell_angle_gamma 120.00
_space_group_name_H-M_alt 'P -3 m 1'
_space_group_IT_number 164
_space_group_name_Hall '-P 3 2"'
loop_
_atom_site_label
_atom_site_type_symbol
_atom_site_fract_x
_atom_site_fract_y
_atom_site_fract_z
Ca1 Ca 0.0000 0.0000 0.0000
Ca2 Ca 0.0000 0.5000 0.0000
I1 I 0.1659 0.3317 0.7622
Br1 Br 0.3333 0.6667 0.1875
```

---

Computed, not measured: a relaxed structure of UGaH at the PBE level of DFT.

Summary:
Total DFT energy (no corrections), eV/atom: -5.886
Energy above the lowest structure with this stoichiometry, eV/f.u.: 0.54

```
data_UGaH
_chemical_formula_sum 'U4 Ga4 H4'
_cell_length_a 6.0289
_cell_length_b 2.9346
_cell_length_c 9.9863
_cell_angle_alpha 90.00
_cell_angle_beta 101.72
_cell_angle_gamma 90.00
_space_group_name_H-M_alt 'C 1 2/m 1'
_space_group_IT_number 12
_space_group_name_Hall '-C 2y'
loop_
_atom_site_label
_atom_site_type_symbol
_atom_site_fract_x
_atom_site_fract_y
_atom_site_fract_z
U1 U 0.1264 0.0000 0.1179
Ga1 Ga 0.0961 0.5000 0.3923
H1 H 0.1464 0.0000 0.7667
```

---

Computed, not measured: a relaxed structure of Sr2AgPt at the PBE level of DFT.

Summary:
Total DFT energy (no corrections), eV/atom: -3.664
Energy above the lowest structure with this stoichiometry, eV/f.u.: 0.00
Formation enthalpy at 0 K, eV per atom: -0.600

```
data_Sr2AgPt
_chemical_formula_sum 'Sr4 Ag2 Pt2'
_cell_length_a 6.2197
_cell_length_b 4.6410
_cell_length_c 8.6047
_cell_angle_alpha 90.00
_cell_angle_beta 110.74
_cell_angle_gamma 90.00
_space_group_name_H-M_alt 'P 1 21/m 1'
_space_group_IT_number 11
_space_group_name_Hall '-P 2yb'
loop_
_atom_site_label
_atom_site_type_symbol
_atom_site_fract_x
_atom_site_fract_y
_atom_site_fract_z
Sr1 Sr 0.2129 0.2500 0.4378
Sr2 Sr 0.2324 0.2500 0.9223
Ag1 Ag 0.3464 0.7500 0.2151
Pt1 Pt 0.3577 0.7500 0.7135
```

---

Computed, not measured: a relaxed structure of La2ZnGa3Ag4 at the PBE level of DFT.

Summary:
Total DFT energy (no corrections), eV/atom: -3.515
Formation enthalpy at 0 K, eV per atom: -0.354

```
data_La2ZnGa3Ag4
_chemical_formula_sum 'La2 Zn1 Ga3 Ag4'
_cell_length_a 4.4958
_cell_length_b 4.4958
_cell_length_c 10.6645
_cell_angle_alpha 90.00
_cell_angle_beta 90.00
_cell_angle_gamma 90.00
_space_group_name_H-M_alt 'P -4 m 2'
_space_group_IT_number 115
_space_group_name_Hall 'P -4 -2'
loop_
_atom_site_label
_atom_site_type_symbol
_atom_site_fract_x
_atom_site_fract_y
_atom_site_fract_z
La1 La 0.0000 0.5000 0.2485
Zn1 Zn 0.5000 0.5000 0.0000
Ga1 Ga 0.0000 0.0000 0.0000
Ga2 Ga 0.0000 0.5000 0.6338
Ag1 Ag 0.0000 0.0000 0.5000
Ag2 Ag 0.0000 0.5000 0.8717
Ag3 Ag 0.5000 0.5000 0.5000
```

---

Computed, not measured: a relaxed structure of Ni4Pd2Pt5 at the PBE level of DFT.

Summary:
Total DFT energy (no corrections), eV/atom: -5.743
Energy above the lowest structure with this stoichiometry, eV/f.u.: 0.00
Formation enthalpy at 0 K, eV per atom: 0.049

```
data_Ni4Pd2Pt5
_chemical_formula_sum 'Ni8 Pd4 Pt10'
_cell_length_a 5.8154
_cell_length_b 14.6724
_cell_length_c 3.7516
_cell_angle_alpha 90.00
_cell_angle_beta 90.00
_cell_angle_gamma 90.00
_space_group_name_H-M_alt 'P b a m'
_space_group_IT_number 55
_space_group_name_Hall '-P 2 2ab'
loop_
_atom_site_label
_atom_site_type_symbol
_atom_site_fract_x
_atom_site_fract_y
_atom_site_fract_z
Ni1 Ni 0.1015 0.1158 0.0000
Ni2 Ni 0.1979 0.4574 0.0000
Pd1 Pd 0.0171 0.7157 0.0000
Pt1 Pt 0.0000 0.0000 0.5000
Pt2 Pt 0.0982 0.5853 0.5000
Pt3 Pt 0.1823 0.8313 0.5000
```

---

Computed, not measured: a relaxed structure of Hg2BrCl at the PBE level of DFT.

Summary:
Total DFT energy (no corrections), eV/atom: -1.376
Energy above the lowest structure with this stoichiometry, eV/f.u.: 0.00
Raw formation energy, eV per atom: -0.345

```
data_Hg2BrCl
_chemical_formula_sum 'Hg2 Br1 Cl1'
_cell_length_a 5.6718
_cell_length_b 3.8726
_cell_length_c 5.6747
_cell_angle_alpha 90.00
_cell_angle_beta 113.34
_cell_angle_gamma 90.00
_space_group_name_H-M_alt 'P 1 m 1'
_space_group_IT_number 6
_space_group_name_Hall 'P -2y'
loop_
_atom_site_label
_atom_site_type_symbol
_atom_site_fract_x
_atom_site_fract_y
_atom_site_fract_z
Hg1 Hg 0.0000 0.0000 0.0000
Hg2 Hg 0.2240 0.5000 0.7771
Br1 Br 0.4464 0.0000 0.5528
Cl1 Cl 0.7958 0.5000 0.2026
```

---

Computed, not measured: a relaxed structure of PaBeSb2O8 at the PBE level of DFT.

Summary:
Total DFT energy (no corrections), eV/atom: -7.095
Raw formation energy, eV per atom: -2.001

```
data_PaBeSb2O8
_chemical_formula_sum 'Pa2 Be2 Sb4 O16'
_cell_length_a 6.8582
_cell_length_b 7.2010
_cell_length_c 6.3622
_cell_angle_alpha 90.00
_cell_angle_beta 95.77
_cell_angle_gamma 90.00
_space_group_name_H-M_alt 'C 1 2/m 1'
_space_group_IT_number 12
_space_group_name_Hall '-C 2y'
loop_
_atom_site_label
_atom_site_type_symbol
_atom_site_fract_x
_atom_site_fract_y
_atom_site_fract_z
Pa1 Pa 0.0000 0.0000 0.0000
Be1 Be 0.0000 0.0000 0.5000
Sb1 Sb 0.0250 0.5000 0.2677
O1 O 0.0000 0.3101 0.5000
O2 O 0.0000 0.3215 0.0000
O3 O 0.1644 0.0000 0.7066
O4 O 0.2183 0.0000 0.2395
```

---

Computed, not measured: a relaxed structure of ReHg at the PBE level of DFT.

Summary:
Total DFT energy (no corrections), eV/atom: -5.626
Energy above the lowest structure with this stoichiometry, eV/f.u.: 0.71
Formation enthalpy at 0 K, eV per atom: 0.749

```
data_ReHg
_chemical_formula_sum 'Re8 Hg8'
_cell_length_a 8.0827
_cell_length_b 8.0827
_cell_length_c 4.7681
_cell_angle_alpha 90.00
_cell_angle_beta 90.00
_cell_angle_gamma 90.00
_space_group_name_H-M_alt 'I 4/m m m'
_space_group_IT_number 139
_space_group_name_Hall '-I 4 2'
loop_
_atom_site_label
_atom_site_type_symbol
_atom_site_fract_x
_atom_site_fract_y
_atom_site_fract_z
Re1 Re 0.1535 0.1535 0.0000
Hg1 Hg 0.0000 0.2767 0.5000
```

---

Computed, not measured: a relaxed structure of NaLaGaAu at the PBE level of DFT.

Summary:
Total DFT energy (no corrections), eV/atom: -3.582
Formation enthalpy at 0 K, eV per atom: -0.444

```
data_NaLaGaAu
_chemical_formula_sum 'Na4 La4 Ga4 Au4'
_cell_length_a 7.3120
_cell_length_b 7.3120
_cell_length_c 7.3120
_cell_angle_alpha 90.00
_cell_angle_beta 90.00
_cell_angle_gamma 90.00
_space_group_name_H-M_alt 'F -4 3 m'
_space_group_IT_number 216
_space_group_name_Hall 'F -4 2 3'
loop_
_atom_site_label
_atom_site_type_symbol
_atom_site_fract_x
_atom_site_fract_y
_atom_site_fract_z
Na1 Na 0.0000 0.0000 0.0000
La1 La 0.0000 0.0000 0.5000
Ga1 Ga 0.2500 0.2500 0.2500
Au1 Au 0.2500 0.2500 0.7500
```

---

Computed, not measured: a relaxed structure of TlPtBr2 at the PBE level of DFT.

Summary:
Total DFT energy (no corrections), eV/atom: -2.665
Energy above the lowest structure with this stoichiometry, eV/f.u.: 1.90
Raw formation energy, eV per atom: 0.273

```
data_TlPtBr2
_chemical_formula_sum 'Tl1 Pt1 Br2'
_cell_length_a 5.2475
_cell_length_b 5.2475
_cell_length_c 3.6071
_cell_angle_alpha 90.00
_cell_angle_beta 90.00
_cell_angle_gamma 90.00
_space_group_name_H-M_alt 'P 4/m m m'
_space_group_IT_number 123
_space_group_name_Hall '-P 4 2'
loop_
_atom_site_label
_atom_site_type_symbol
_atom_site_fract_x
_atom_site_fract_y
_atom_site_fract_z
Tl1 Tl 0.0000 0.0000 0.0000
Pt1 Pt 0.5000 0.5000 0.0000
Br1 Br 0.0000 0.5000 0.5000
```

---

Computed, not measured: a relaxed structure of Ca2AuBr at the PBE level of DFT.

Summary:
Total DFT energy (no corrections), eV/atom: -3.347
Energy above the lowest structure with this stoichiometry, eV/f.u.: 0.00
Raw formation energy, eV per atom: -1.109

```
data_Ca2AuBr
_chemical_formula_sum 'Ca4 Au2 Br2'
_cell_length_a 7.2389
_cell_length_b 4.1704
_cell_length_c 8.1643
_cell_angle_alpha 90.00
_cell_angle_beta 107.29
_cell_angle_gamma 90.00
_space_group_name_H-M_alt 'C 1 2/m 1'
_space_group_IT_number 12
_space_group_name_Hall '-C 2y'
loop_
_atom_site_label
_atom_site_type_symbol
_atom_site_fract_x
_atom_site_fract_y
_atom_site_fract_z
Ca1 Ca 0.2405 0.0000 0.2191
Au1 Au 0.0000 0.5000 0.0000
Br1 Br 0.0000 0.0000 0.5000
```

---

Computed, not measured: a relaxed structure of Al2CoSb at the PBE level of DFT.

Summary:
Total DFT energy (no corrections), eV/atom: -4.535
Raw formation energy, eV per atom: 0.143

```
data_Al2CoSb
_chemical_formula_sum 'Al2 Co1 Sb1'
_cell_length_a 3.8008
_cell_length_b 4.0352
_cell_length_c 5.0377
_cell_angle_alpha 90.00
_cell_angle_beta 111.11
_cell_angle_gamma 90.00
_space_group_name_H-M_alt 'P 1 2/m 1'
_space_group_IT_number 10
_space_group_name_Hall '-P 2y'
loop_
_atom_site_label
_atom_site_type_symbol
_atom_site_fract_x
_atom_site_fract_y
_atom_site_fract_z
Al1 Al 0.1546 0.0000 0.2847
Co1 Co 0.5000 0.5000 0.5000
Sb1 Sb 0.5000 0.5000 0.0000
```

---

Computed, not measured: a relaxed structure of NaInCu2 at the PBE level of DFT.

Summary:
Total DFT energy (no corrections), eV/atom: -2.875
Formation enthalpy at 0 K, eV per atom: 0.187

```
data_NaInCu2
_chemical_formula_sum 'Na1 In1 Cu2'
_cell_length_a 4.4422
_cell_length_b 4.4422
_cell_length_c 3.5734
_cell_angle_alpha 90.00
_cell_angle_beta 90.00
_cell_angle_gamma 90.00
_space_group_name_H-M_alt 'P 4/m m m'
_space_group_IT_number 123
_space_group_name_Hall '-P 4 2'
loop_
_atom_site_label
_atom_site_type_symbol
_atom_site_fract_x
_atom_site_fract_y
_atom_site_fract_z
Na1 Na 0.0000 0.0000 0.0000
In1 In 0.5000 0.5000 0.0000
Cu1 Cu 0.0000 0.5000 0.5000
```

---

Computed, not measured: a relaxed structure of Sn6HgPt at the PBE level of DFT.

Summary:
Total DFT energy (no corrections), eV/atom: -3.863
Formation enthalpy at 0 K, eV per atom: -0.068

```
data_Sn6HgPt
_chemical_formula_sum 'Sn24 Hg4 Pt4'
_cell_length_a 13.7410
_cell_length_b 9.5369
_cell_length_c 9.7837
_cell_angle_alpha 90.00
_cell_angle_beta 133.21
_cell_angle_gamma 90.00
_space_group_name_H-M_alt 'C 1 2/m 1'
_space_group_IT_number 12
_space_group_name_Hall '-C 2y'
loop_
_atom_site_label
_atom_site_type_symbol
_atom_site_fract_x
_atom_site_fract_y
_atom_site_fract_z
Sn1 Sn 0.0182 0.1577 0.1694
Sn2 Sn 0.1072 0.5000 0.9671
Sn3 Sn 0.1477 0.3441 0.6388
Sn4 Sn 0.1918 0.5000 0.3396
Hg1 Hg 0.2500 0.2500 0.0000
Pt1 Pt 0.2500 0.2500 0.5000
```